1.
The following is a GGA-PBE calculation of an optimized crystal structure of HfHgTe2, from Alexandria via LeMat-Bulk.

Geometry as extended XYZ:
```
4
Lattice="3.9501 0.0000 0.0000 -1.9749 3.4224 0.0000 -1.9086 -1.1371 10.0861" Properties=species:S:1:pos:R:3 pbc="T T T"
Hf 0.0000 0.0000 0.0000
Hg -0.0071 2.2900 4.9491
Te -1.9084 1.1441 8.3011
Te 1.9751 1.1414 1.7798
```

ΔE_f (raw)   -0.609 eV per atom

2.
The following is a GGA-PBE calculation of an optimized crystal structure of Hf2Hg2Te, from Alexandria via LeMat-Bulk.

Geometry as extended XYZ:
```
10
Lattice="3.9363 0.0000 0.0000 0.0000 3.9363 0.0000 0.0000 0.0000 15.3883" Properties=species:S:1:pos:R:3 pbc="T T T"
Hf 0.0000 0.0000 1.4930
Hf 0.0000 0.0000 13.8953
Hf 1.9681 1.9681 6.2011
Hf 1.9681 1.9681 9.1871
Hg 0.0000 1.9681 3.8471
Hg 0.0000 1.9681 11.5412
Hg 1.9681 0.0000 3.8471
Hg 1.9681 0.0000 11.5412
Te 0.0000 0.0000 7.6941
Te 1.9681 1.9681 0.0000
```

Relative energy among the computed polymorphs   0.218 eV/atom
ΔE_f (raw)   0.076 eV per atom

3.
The following is a GGA-PBE calculation of an optimized crystal structure of HfHgTe2, from Alexandria via LeMat-Bulk.

Geometry as extended XYZ:
```
16
Lattice="10.4382 0.0000 0.0000 0.0000 12.0187 0.0000 -0.1132 0.0000 4.1872" Properties=species:S:1:pos:R:3 pbc="T T T"
Hf -0.0283 1.1247 1.0468
Hf -0.0849 10.8940 3.1404
Hf 5.1342 4.8846 3.1404
Hf 5.1908 7.1340 1.0468
Hg -0.0849 4.7843 3.1404
Hg -0.0283 7.2344 1.0468
Hg 5.1908 1.2251 1.0468
Hg 5.1342 10.7936 3.1404
Te 1.8267 1.5314 3.1957
Te 1.8833 10.4872 1.1022
Te 3.2792 4.4779 0.9914
Te 3.2225 7.5407 3.0850
Te 7.1024 4.4779 1.1022
Te 7.0458 7.5407 3.1957
Te 8.4416 1.5314 3.0850
Te 8.4983 10.4872 0.9914
```

ΔE_f (raw)   -0.263 eV per atom

4.
The following is a GGA-PBE calculation of an optimized crystal structure of Hf4HgTe8, from Alexandria via LeMat-Bulk.

Geometry as extended XYZ:
```
13
Lattice="9.8893 -1.9953 0.0000 9.8893 1.9953 0.0000 -8.6984 0.0000 10.6314" Properties=species:S:1:pos:R:3 pbc="T T T"
Hf 0.0000 0.0000 0.0000
Hf -2.3900 0.0000 7.2550
Hf 6.9405 0.0000 3.9265
Hf 13.2485 0.0000 0.5517
Hg 12.1662 0.0000 5.6033
Te -1.0211 0.0000 4.7337
Te 1.9437 0.0000 2.1022
Te -3.7342 0.0000 9.9164
Te 8.2829 0.0000 1.2650
Te 2.6060 0.0000 9.0809
Te 5.5716 0.0000 6.4479
Te 9.2489 0.0000 8.2927
Te 15.0796 0.0000 2.8895
```

ΔE_f (raw)   -0.700 eV per atom

5.
The following is a GGA-PBE calculation of an optimized crystal structure of Hf2HgTe, from Alexandria via LeMat-Bulk.

Geometry as extended XYZ:
```
16
Lattice="6.0565 0.0000 0.0000 0.0000 6.0565 0.0000 0.0000 0.0000 14.0029" Properties=species:S:1:pos:R:3 pbc="T T T"
Hf 1.3363 1.5141 1.7504
Hf 1.5141 4.3645 5.2511
Hf 1.5141 4.7202 12.2525
Hf 1.6920 1.5141 8.7518
Hf 4.3645 4.5424 8.7518
Hf 4.5424 1.3363 12.2525
Hf 4.5424 1.6920 5.2511
Hf 4.7202 4.5424 1.7504
Hg 0.0000 0.0000 0.0000
Hg 0.0000 3.0282 3.5007
Hg 3.0282 0.0000 10.5021
Hg 3.0282 3.0282 7.0014
Te 0.0000 0.0000 7.0014
Te 0.0000 3.0282 10.5021
Te 3.0282 0.0000 3.5007
Te 3.0282 3.0282 0.0000
```

Relative energy among the computed polymorphs   0.632 eV/atom
ΔE_f (raw)   0.536 eV per atom

6.
The following is a GGA-PBE calculation of an optimized crystal structure of HfHgTe2, from Alexandria via LeMat-Bulk.

Geometry as extended XYZ:
```
16
Lattice="8.0071 0.0000 0.0000 0.0000 8.0071 0.0000 0.0000 0.0000 11.4130" Properties=species:S:1:pos:R:3 pbc="T T T"
Hf 0.0000 0.0000 0.0000
Hf 0.0000 4.0036 2.8532
Hf 4.0036 0.0000 8.5597
Hf 4.0036 4.0036 5.7065
Hg 0.0000 0.0000 5.7065
Hg 0.0000 4.0036 8.5597
Hg 4.0036 0.0000 2.8532
Hg 4.0036 4.0036 0.0000
Te 1.1921 2.0018 1.4266
Te 2.0018 5.1957 4.2799
Te 2.0018 6.8150 9.9864
Te 2.8114 2.0018 7.1331
Te 5.1957 6.0053 7.1331
Te 6.0053 1.1921 9.9864
Te 6.0053 2.8114 4.2799
Te 6.8150 6.0053 1.4266
```

ΔE_f (raw)   -0.268 eV per atom

7.
The following is a GGA-PBE calculation of an optimized crystal structure of HfThHg2, from Alexandria via LeMat-Bulk.

Geometry as extended XYZ:
```
4
Lattice="3.5625 0.0000 0.0000 0.0000 3.5625 0.0000 0.0000 0.0000 7.6972" Properties=species:S:1:pos:R:3 pbc="T T T"
Hf 0.0000 0.0000 0.0000
Th 0.0000 0.0000 3.8486
Hg 1.7812 1.7812 1.6538
Hg 1.7812 1.7812 6.0434
```

Relative energy among the computed polymorphs   0.000 eV/atom
Energy of formation   -0.083 eV/atom

8.
The following is a GGA-PBE calculation of an optimized crystal structure of HfThHg2, from Alexandria via LeMat-Bulk.

Geometry as extended XYZ:
```
16
Lattice="7.3678 0.0000 0.0000 0.0000 7.3678 0.0000 0.0000 0.0000 7.3678" Properties=species:S:1:pos:R:3 pbc="T T T"
Hf 0.0000 0.0000 0.0000
Hf 0.0000 3.6839 3.6839
Hf 3.6839 0.0000 3.6839
Hf 3.6839 3.6839 0.0000
Th 0.0000 0.0000 3.6839
Th 0.0000 3.6839 0.0000
Th 3.6839 0.0000 0.0000
Th 3.6839 3.6839 3.6839
Hg 1.8420 1.8420 1.8420
Hg 1.8420 1.8420 5.5259
Hg 1.8420 5.5259 1.8420
Hg 1.8420 5.5259 5.5259
Hg 5.5259 1.8420 1.8420
Hg 5.5259 1.8420 5.5259
Hg 5.5259 5.5259 1.8420
Hg 5.5259 5.5259 5.5259
```

Relative energy among the computed polymorphs   0.055 eV/atom
Energy of formation   -0.028 eV/atom